The following is a DFT calculation (PBE) of crystalline Cs2KTbBr6 at its relaxed geometry.

a = 8.286 Å, b = 8.571 Å, c = 14.465 Å
α = 90.00°, β = 124.89°, γ = 90.00°
Fractional positions:
Cs (0.233, 0.056, 0.249)
Cs (0.233, 0.444, 0.749)
Cs (0.767, 0.556, 0.251)
Cs (0.767, 0.944, 0.751)
K (0.000, 0.000, 0.500)
K (0.000, 0.500, 0.000)
Tb (0.500, 0.000, 0.000)
Tb (0.500, 0.500, 0.500)
Br (0.188, 0.189, 0.962)
Br (0.188, 0.311, 0.462)
Br (0.272, 0.729, 0.958)
Br (0.272, 0.771, 0.458)
Br (0.346, 0.019, 0.769)
Br (0.346, 0.481, 0.269)
Br (0.654, 0.519, 0.731)
Br (0.654, 0.981, 0.231)
Br (0.728, 0.229, 0.542)
Br (0.728, 0.271, 0.042)
Br (0.812, 0.689, 0.538)
Br (0.812, 0.811, 0.038)

Values from the calculation:
E_form (uncorrected)	-18.73	eV per formula unit

The following is a DFT calculation (PBE) of crystalline CsK2TcBr8 at its relaxed geometry.

a = 6.159 Å, b = 7.335 Å, c = 9.800 Å
α = 90.08°, β = 107.26°, γ = 90.00°
Fractional positions:
Cs (0.000, 0.000, 0.000)
K (0.325, 0.501, 0.687)
K (0.675, 0.499, 0.313)
Tc (0.000, 0.000, 0.500)
Br (0.174, 0.245, 0.383)
Br (0.175, 0.755, 0.383)
Br (0.249, 0.500, 0.006)
Br (0.341, 0.001, 0.723)
Br (0.659, 0.999, 0.277)
Br (0.751, 0.500, 0.994)
Br (0.825, 0.245, 0.617)
Br (0.826, 0.755, 0.617)

Values from the calculation:
E_form (uncorrected)	-12.63	eV per formula unit

| no. | DOS at the Fermi energy (states/eV/atom) | total magnetic moment (μB per formula unit) |
| --- | --- | --- |
| 1 | 0.000 | 0.00 |
| 2 | 0.127 | 2.79 |